1.
LaSmSi2 PBE-GGA optimized geometry; formation energy (no corrections) = -0.7525 eV/atom; uncorrected energy = -47.00 eV for the cell shown; D(E_F) = 7.067 states/eV/cell; ΔE to the lowest computed polymorph = 3 meV per atom
1.0
3.943 0.000 0.000
0.000 4.496 0.000
0.000 0.000 11.043
La Sm Si
2 2 4
direct
0.000 0.000 0.000 La
0.000 0.500 0.500 La
0.500 0.000 0.720 Sm
0.500 0.500 0.220 Sm
0.000 0.000 0.285 Si
0.000 0.500 0.785 Si
0.500 0.000 0.427 Si
0.500 0.500 0.927 Si

=====

2.
La2SmSi2 PBE-GGA optimized geometry; formation energy (no corrections) = -0.6579 eV/atom; uncorrected energy = -57.42 eV for the cell shown; D(E_F) = 10.215 states/eV/cell
1.0
7.793 0.000 0.000
0.000 7.793 0.000
0.000 0.000 4.489
La Sm Si
4 2 4
direct
0.177 0.323 0.000 La
0.323 0.823 0.000 La
0.677 0.177 0.000 La
0.823 0.677 0.000 La
0.000 0.000 0.500 Sm
0.500 0.500 0.500 Sm
0.111 0.611 0.500 Si
0.389 0.111 0.500 Si
0.611 0.889 0.500 Si
0.889 0.389 0.500 Si

=====

3.
LaSm2Si PBE-GGA optimized geometry; formation energy (no corrections) = -0.0304 eV/atom; uncorrected energy = -59.73 eV for the cell shown; D(E_F) = 16.353 states/eV/cell; ΔE to the lowest computed polymorph = 339 meV per atom
1.0
3.702 0.000 0.000
-1.851 3.206 0.000
0.000 0.000 33.042
La Sm Si
3 6 3
direct
0.000 0.000 0.000 La
0.333 0.667 0.667 La
0.667 0.333 0.333 La
0.000 0.000 0.109 Sm
0.000 0.000 0.891 Sm
0.333 0.667 0.558 Sm
0.333 0.667 0.775 Sm
0.667 0.333 0.225 Sm
0.667 0.333 0.442 Sm
0.000 0.000 0.500 Si
0.333 0.667 0.167 Si
0.667 0.333 0.833 Si

=====

4.
LaSmSi3 PBE-GGA optimized geometry; formation energy (no corrections) = -0.7319 eV/atom; uncorrected energy = -59.15 eV for the cell shown; D(E_F) = 3.850 states/eV/cell
1.0
2.216 -12.458 0.000
2.216 12.458 0.000
0.000 0.000 4.002
La Sm Si
2 2 6
direct
0.070 0.930 0.750 La
0.930 0.070 0.250 La
0.202 0.798 0.250 Sm
0.798 0.202 0.750 Sm
0.323 0.677 0.250 Si
0.380 0.620 0.750 Si
0.475 0.525 0.750 Si
0.525 0.475 0.250 Si
0.620 0.380 0.250 Si
0.677 0.323 0.750 Si

=====

| no. | size of the total moment (μB per formula unit) |
| --- | --- |
| 1 | 0.00 |
| 2 | 0.00 |
| 3 | 0.00 |
| 4 | 0.00 |